1.
TlIrPt2 | PBE-GGA | relaxed

POSCAR file:
```
TlIrPt2
1.0
-2.640 -3.870 1.189
-0.547 -3.517 3.270
-3.421 2.201 3.066
Tl Pt Ir
1 2 1
Cartesian
-1.652 -1.297 1.881 Tl
-3.355 -2.499 3.798 Pt
-3.370 2.107 3.031 Pt
-4.956 -3.890 5.644 Ir
```

Polymorph energy (0 for the lowest one) ... 0.063 eV per atom
ΔH_f (0 K) ... 24.49 kJ per mole of atoms
VASP energy ... -22.3 eV per cell


2.
Tl2IrPt | PBE-GGA | relaxed

POSCAR file:
```
Tl2IrPt
1.0
4.348 0.000 0.000
0.000 4.348 0.000
2.174 2.174 9.108
Tl Pt Ir
4 2 2
Cartesian
3.239 1.087 2.277 Tl
5.435 5.413 6.831 Tl
3.261 3.283 6.831 Tl
1.109 3.261 2.277 Tl
0.000 0.000 0.000 Pt
4.348 2.174 4.554 Pt
2.174 4.348 4.554 Ir
2.174 2.174 0.000 Ir
```

Polymorph energy (0 for the lowest one) ... 0.308 eV per atom
ΔH_f (0 K) ... 57.04 kJ per mole of atoms
VASP energy ... -34.5 eV per cell


3.
TlIrPt2 | PBE-GGA | relaxed

POSCAR file:
```
TlIrPt2
1.0
-6.446 -5.549 -3.368
-4.169 -7.457 -3.270
-5.829 -6.999 -0.848
Tl Pt Ir
1 2 1
Cartesian
-8.208 -9.985 -3.737 Tl
-4.162 -5.063 -1.895 Pt
-0.028 -0.034 -0.013 Pt
-12.268 -14.925 -5.586 Ir
```

Polymorph energy (0 for the lowest one) ... 0.154 eV per atom
ΔH_f (0 K) ... 33.32 kJ per mole of atoms
VASP energy ... -21.9 eV per cell


What is the polymorph energy (0 for the lowest one) in the second record?
0.308 eV per atom